# 1
The following is a PBE-GGA calculation of TbPrSm2Tm5 after structural relaxation, from Alexandria.

extended XYZ file:
```
18
Lattice="-4.6606 -7.3839 -0.0087 0.6042 -0.3916 8.7020 -4.3569 7.9172 -3.7220" Properties=species:S:1:pos:R:3 pbc="T T T"
Tm -5.2448 -4.8641 2.6981
Tm -3.1685 5.0058 2.2732
Sm -3.7499 -6.7715 5.3491
Sm -0.3065 -1.0040 3.3441
Sm -2.7991 -4.5907 1.0005
Tb -2.8905 1.8189 4.6633
Pr -3.1926 2.0147 0.3123
Tb -5.5228 -1.6772 0.3080
Tm -5.4488 1.2814 2.9888
Pr -5.2207 -1.8731 4.6590
Sm -1.2572 -3.1848 7.6928
Tm 0.0000 0.0000 0.0000
Tm -4.5571 -4.4490 7.0498
Tm -2.9645 -1.1398 1.9824
Tm -6.1365 0.8663 -1.3629
Tm -3.8562 4.5906 -2.0785
Tm -2.0282 -3.8878 4.3466
Tm -2.2768 -0.7246 6.3342
```

Calculated values
Size of the total moment in μB per cell: 0.000
E_tot in eV per atom: -4.313
SG: No. 140
Volume in Å³/cell: 577.62
Formation energy from the elements in kcal/mol of atoms: 6.113

# 2
The following is a PBE-GGA calculation of Tb2PrSmTm4 after structural relaxation, from Alexandria.

extended XYZ file:
```
16
Lattice="-9.4198 6.0197 -4.9918 -1.6506 -5.7531 -3.8319 5.2069 -3.9850 10.3424" Properties=species:S:1:pos:R:3 pbc="T T T"
Tm -5.7086 -1.7793 -1.4646
Tm -0.9818 -4.8205 1.0609
Sm -0.8253 -2.8766 -1.9159
Pr -2.9317 -1.8593 0.7594
Tb -4.7099 3.0098 -2.4959
Tm 2.4298 -3.9039 8.1198
Tm -7.4667 3.0602 -4.6909
Tm -0.1549 -1.9393 2.9833
Tm 1.6030 -6.7786 6.2095
Pr -4.2129 2.0346 5.3506
Tb -5.5352 0.1333 -4.4118
Tm -4.8817 1.1021 0.4578
Tb 2.6034 -1.9925 5.1712
Tb -2.1065 1.0173 2.6753
Sm -7.6417 1.1506 -1.7366
Tm -8.2933 0.1854 -6.6011
```

Calculated values
Size of the total moment in μB per cell: 0.000
E_tot in eV per atom: -4.561
SG: No. 12
Volume in Å³/cell: 504.62
Formation energy from the elements in kcal/mol of atoms: 0.451

# 3
The following is a PBE-GGA calculation of Tb3PrSmTm after structural relaxation, from Alexandria.

extended XYZ file:
```
12
Lattice="-3.0386 -4.0018 -3.1481 6.3191 -0.2822 -0.1566 -0.0935 -7.2831 9.3484" Properties=species:S:1:pos:R:3 pbc="T T T"
Tb 0.0813 -6.4693 2.5612
Pr -0.0468 -3.6415 4.6742
Tm 1.5985 -8.9796 4.2877
Tb 1.5836 -5.3087 -0.3642
Tb 3.1057 -5.0978 3.4825
Tb 0.0356 -10.0248 7.1249
Sm 4.6683 -7.7162 5.3027
Pr 0.0000 0.0000 0.0000
Tb 3.1514 -1.5423 -1.0813
Tm 1.5885 -2.5875 1.7559
Sm -1.4813 -3.8509 0.7409
Tb 1.6034 -6.2584 6.4078
```

Calculated values
Size of the total moment in μB per cell: 0.000
E_tot in eV per atom: -4.527
SG: No. 63
Volume in Å³/cell: 392.79
Formation energy from the elements in kcal/mol of atoms: 2.696

> formation energy from the elements of number 2 (Tb2PrSmTm4)?

0.451 kcal/mol of atoms